VASP calculation (GGA-PBE) on crystalline TbPrTm2Sc4 at its relaxed geometry.

Computed properties:
space group	No. 15
DOS at the Fermi energy	2.233	states/eV per atom
VASP energy	-0.3689	Ry per atom
calculated density	5.824	g/cm³

extended XYZ file:
```
16
Lattice="0.009 1.575 -8.946 -5.102 -7.350 -1.569 -0.862 7.453 8.420" Properties=species:S:1:pos:R:3 pbc="T T T"
Tb -2.551 -3.675 -0.785
Tb -2.973 1.626 -5.521
Pr -2.978 0.839 -1.048
Pr -0.853 9.028 -0.526
Tm 0.004 0.787 -4.473
Tm -0.427 4.514 -0.263
Tm -0.431 3.727 4.210
Tm -2.547 -2.888 -5.258
Sc -3.807 -5.081 -3.445
Sc -1.675 3.106 -2.921
Sc -4.280 -1.428 0.825
Sc -2.148 6.759 1.349
Sc -3.825 -4.316 -7.836
Sc -4.262 -0.649 -3.703
Sc -1.693 2.327 1.607
Sc -2.130 5.994 5.741
```